Density functional theory data (PBE) for an optimized crystal structure of NaNbFeSe3.

Cell: 7.7963 3.5766 9.6244 Å, 90.00 111.39 90.00°
Last column: nearest neighbours and their distance in Å.
Fractional positions:
1 Na 0.2296 0.2500 0.2162  6 Se 2.94-3.07
2 Na 0.7704 0.7500 0.7838  6 Se 2.94-3.07
3 Nb 0.2088 0.7500 0.6829  6 Se 2.60-2.75, 2 Fe 2.77
4 Nb 0.7912 0.2500 0.3171  6 Se 2.60-2.75, 2 Fe 2.77
5 Fe 0.4185 0.2500 0.8978  4 Se 2.41-2.49, 2 Fe 2.62
6 Fe 0.5815 0.7500 0.1022  4 Se 2.41-2.49, 2 Fe 2.62
7 Se 0.0653 0.7500 0.3756  3 Nb 2.68-2.75, 2 Na 2.94
8 Se 0.2428 0.7500 0.9614  3 Fe 2.46-2.49, 1 Nb 2.60
9 Se 0.4339 0.2500 0.6525  1 Fe 2.41, 2 Nb 2.60
10 Se 0.5661 0.7500 0.3475  1 Fe 2.41, 2 Nb 2.60
11 Se 0.7572 0.2500 0.0386  3 Fe 2.46-2.49, 1 Nb 2.60
12 Se 0.9347 0.2500 0.6244  3 Nb 2.68-2.75, 2 Na 2.94

Properties
**Space-group type**: P2_1/m (11)
**Total moment**: 2.0 μB per formula unit
**Calculated density**: 5.4 g/cm3
**VASP energy**: -69.76 eV/cell